Zr2MnIr | PBE | relaxed

Results
- magnetization (μB per formula unit) = 0.0
- total DFT energy (no corrections) (eV per cell) = -37.05
- formation energy (meV per atom) = -479.8

a b c (Å): 4.561 4.561 3.316
angles (deg): 90.00 90.00 90.00
Element x y z (fractional)
Zr 0.000 0.500 0.000
Zr 0.500 0.000 0.000
Mn 0.000 0.000 0.500
Ir 0.500 0.500 0.500

---

In5GaS8 | PBE | relaxed

Results
- magnetization (μB per formula unit) = 0.0
- total DFT energy (no corrections) (eV per cell) = -56.40

a b c (Å): 7.636 7.636 7.636
angles (deg): 106.01 106.01 116.64
Element x y z (fractional)
In 0.000 0.000 0.000
In 0.129 0.162 0.533
In 0.404 0.871 0.033
In 0.629 0.596 0.467
In 0.838 0.371 0.967
Ga 0.250 0.750 0.500
S 0.324 0.628 0.232
S 0.367 0.158 0.287
S 0.372 0.604 0.696
S 0.396 0.093 0.768
S 0.842 0.129 0.209
S 0.871 0.081 0.713
S 0.907 0.676 0.304
S 0.919 0.633 0.791